Run a
Density functional theory data (PBE) for a relaxed structure of ReTc2Ni.

Cell: 6.883 6.883 5.181 Å, 90.00 90.00 90.00°
Space group I-42d (No. 122)
Symmetry-distinct sites (fractional):
Re 0.000 0.000 0.000
Tc 0.238 0.250 0.125
Ni 0.000 0.000 0.500

Computed properties:
density = 11.93 g/cm³
N(E_F) = 4.799 states/eV/f.u.

***

Run b
Density functional theory data (PBE) for a relaxed structure of ReTc2Ni.

Cell: 2.697 4.683 4.690 Å, 110.39 90.08 90.06°
Space group P-1 (No. 2)
Symmetry-distinct sites (fractional):
Re 0.000 0.000 0.000
Tc 0.000 0.500 0.500
Tc 0.500 0.000 0.500
Ni 0.500 0.500 0.000

Computed properties:
density = 13.18 g/cm³
N(E_F) = 4.326 states/eV/f.u.

***

Name the least stable of them. run a.

***

Run a
Density functional theory data (PBE) for a relaxed structure of Re3NiTe.

Cell: 4.513 4.513 4.513 Å, 90.00 90.00 90.00°
Space group Pm-3m (No. 221)
Symmetry-distinct sites (fractional):
Re 0.000 0.000 0.500
Ni 0.000 0.000 0.000
Te 0.500 0.500 0.500

Computed properties:
density = 13.45 g/cm³
N(E_F) = 8.130 states/eV/f.u.

***

Run b
Density functional theory data (PBE) for a relaxed structure of Re3NiTe.

Cell: 4.781 4.781 4.781 Å, 90.00 90.00 90.00°
Space group Pm-3m (No. 221)
Symmetry-distinct sites (fractional):
Re 0.000 0.000 0.500
Ni 0.500 0.500 0.500
Te 0.000 0.000 0.000

Computed properties:
density = 11.32 g/cm³
N(E_F) = 5.338 states/eV/f.u.

***

Name the least stable of them. run b.